Entry 1:
## BaSrTlZn (GGA-PBE)

Data for a relaxed structure of BaSrTlZn.

## Properties
Its formation energy from the elements is -112 kJ/mol of formula units. As for the density of states at the Fermi level: 3.52 states/eV/cell. Its polymorph energy (0 for the lowest one) is 0 meV/atom. The value obtained for the final energy is -8.41 eV per cell.

a b c (Å): 4.0769 4.0769 8.3391
angles (deg): 90.00 90.00 90.00
Element x y z (fractional)
Ba 0.0000 0.0000 0.0000
Sr 0.0000 0.0000 0.4778
Tl 0.5000 0.5000 0.7220
Zn 0.5000 0.5000 0.2600

=====

Entry 2:
## BaSr2Tm (GGA-PBE)

Data for a relaxed structure of BaSr2Tm.

## Properties
Its formation energy from the elements is 66 kJ/mol of formula units. As for the density of states at the Fermi level: 3.97 states/eV/cell. Its polymorph energy (0 for the lowest one) is 0 meV/atom. The value obtained for the final energy is -9.08 eV per cell.

a b c (Å): 4.2973 4.2973 10.4156
angles (deg): 90.00 90.00 90.00
Element x y z (fractional)
Ba 0.0000 0.0000 0.0000
Sr 0.5000 0.5000 0.2908
Sr 0.5000 0.5000 0.7092
Tm 0.0000 0.0000 0.5000

=====

Entry 3:
## BaSr2Tm (GGA-PBE)

Data for a relaxed structure of BaSr2Tm.

## Properties
Its formation energy from the elements is 146 kJ/mol of formula units. As for the density of states at the Fermi level: 6.16 states/eV/cell. Its polymorph energy (0 for the lowest one) is 208 meV/atom. The value obtained for the final energy is -8.24 eV per cell.

a b c (Å): 14.4517 14.4517 14.4517
angles (deg): 15.58 15.58 15.58
Element x y z (fractional)
Ba 0.0000 0.0000 0.0000
Sr 0.4181 0.4181 0.4181
Sr 0.5819 0.5819 0.5819
Tm 0.5000 0.5000 0.5000

=====

Entry 4:
## Ba3SrV (GGA-PBE)

Data for a relaxed structure of Ba3SrV.

## Properties
Its formation energy from the elements is 623 kJ/mol of formula units. As for the density of states at the Fermi level: 13.50 states/eV/cell. Its polymorph energy (0 for the lowest one) is 773 meV/atom. The value obtained for the final energy is -10.12 eV per cell.

a b c (Å): 6.7532 6.7532 6.7532
angles (deg): 90.00 90.00 90.00
Element x y z (fractional)
Ba 0.0000 0.0000 0.5000
Ba 0.0000 0.5000 0.0000
Ba 0.5000 0.0000 0.0000
Sr 0.0000 0.0000 0.0000
V 0.5000 0.5000 0.5000

=====

Entry 5:
## Ba3SrV (GGA-PBE)

Data for a relaxed structure of Ba3SrV.

## Properties
Its formation energy from the elements is 250 kJ/mol of formula units. As for the density of states at the Fermi level: 6.56 states/eV/cell. Its polymorph energy (0 for the lowest one) is 0 meV/atom. The value obtained for the final energy is -13.98 eV per cell.

a b c (Å): 6.6022 6.6022 6.6022
angles (deg): 90.00 90.00 90.00
Element x y z (fractional)
Ba 0.0000 0.0000 0.5000
Ba 0.0000 0.5000 0.0000
Ba 0.5000 0.0000 0.0000
Sr 0.5000 0.5000 0.5000
V 0.0000 0.0000 0.0000

=====

Entry 6:
## BaSr3V (GGA-PBE)

Data for a relaxed structure of BaSr3V.

## Properties
Its formation energy from the elements is 672 kJ/mol of formula units. As for the density of states at the Fermi level: 7.29 states/eV/cell. Its polymorph energy (0 for the lowest one) is 906 meV/atom. The value obtained for the final energy is -9.12 eV per cell.

a b c (Å): 6.4678 6.4678 6.4678
angles (deg): 90.00 90.00 90.00
Element x y z (fractional)
Ba 0.0000 0.0000 0.0000
Sr 0.0000 0.0000 0.5000
Sr 0.0000 0.5000 0.0000
Sr 0.5000 0.0000 0.0000
V 0.5000 0.5000 0.5000